DFT (PBE-GGA) results for an optimized crystal structure of Mg6SbW.

Properties
Energy relative to the elements, uncorrected: 185 meV per atom
Mass density: 4.59 g/cm³
M_tot: 0.0 μB/f.u.
Electronic total energy: -25.165 eV/f.u.

Cell lengths 4.9885, 6.1221, 6.1221 Å; angles 60.95, 90.00, 90.00 degrees
Atoms (fractional coordinates):
Mg  0.0000  0.0000  0.0000
Mg  0.0000  0.0147  0.4928
Mg  0.0000  0.4928  0.0147
Mg  0.5000  0.3325  0.8457
Mg  0.5000  0.8355  0.8355
Mg  0.5000  0.8457  0.3325
Sb  0.0000  0.4917  0.4917
W  0.5000  0.3390  0.3390

***

DFT (PBE-GGA) results for an optimized crystal structure of KIr2W.

Properties
E_form: 1346 meV/atom
Mass density: 14.68 g/cm³
M_tot: 0.0 μB/f.u.
Electronic total energy: -26.388 eV/f.u.

Cell lengths 5.0347, 5.0347, 5.0347 Å; angles 132.18, 132.18, 69.95 degrees
Atoms (fractional coordinates):
K  0.0000  0.0000  0.0000
Ir  0.5000  0.5000  0.0000
Ir  0.7500  0.2500  0.5000
W  0.2500  0.7500  0.5000

***

DFT (PBE-GGA) results for an optimized crystal structure of Pr2NdNi2Ge2.

Properties
E_form: -590 meV/atom
Mass density: 6.68 g/cm³
M_tot: 0.7 μB/f.u.
Electronic total energy: -39.251 eV/f.u.

Cell lengths 11.3155, 11.3155, 11.3155 Å; angles 21.54, 21.54, 21.54 degrees
Atoms (fractional coordinates):
Pr  0.1143  0.1143  0.1143
Pr  0.8857  0.8857  0.8857
Nd  0.0000  0.0000  0.0000
Ni  0.3920  0.3920  0.3920
Ni  0.6080  0.6080  0.6080
Ge  0.2724  0.2724  0.2724
Ge  0.7276  0.7276  0.7276